Below is a relaxed CsGa3Hg crystal, with properties calculated at the PBE-GGA level.

Cell lengths 5.5417, 5.5417, 5.5417 Å; angles 90.00, 90.00, 90.00 degrees
Closest atoms and distances in Å follow each position.
Positions (direct):
Ga1 0.0000 0.0000 0.5000  2 Hg 2.77
Cs1 0.5000 0.5000 0.5000  12 Ga 3.92
Ga2 0.0000 0.5000 0.0000  2 Hg 2.77
Ga3 0.5000 0.0000 0.0000  2 Hg 2.77
Hg1 0.0000 0.0000 0.0000  6 Ga 2.77

N(E_F) ... 6.4 states/eV/cell
Size of the total moment ... 0.00 μB/f.u.
E_form ... 0.326 eV/atom
DFT total energy ... -1.722 eV/atom
Space group ... No. 221